# 1
First-principles (PBE-GGA) data for crystalline K2PaNbS6 at its relaxed geometry, as listed in the Alexandria database.

Results
- Symmetry: No. 99
- Magnetic moment: 0.00 μB/cell
- Energy relative to the elements, uncorrected: -1.2578 eV/atom

Cell and atoms, written as POSCAR:
```
K2PaNbS6
1.0
7.091 0.000 0.000
0.000 7.091 0.000
0.000 0.000 5.302
K Pa Nb S
2 1 1 6
direct
0.000 0.500 0.000 K
0.500 0.000 0.000 K
0.000 0.000 0.507 Pa
0.500 0.500 0.422 Nb
0.000 0.000 0.011 S
0.261 0.261 0.514 S
0.261 0.739 0.514 S
0.500 0.500 0.005 S
0.739 0.261 0.514 S
0.739 0.739 0.514 S
```



# 2
First-principles (PBE-GGA) data for crystalline Pa2AlCr at its relaxed geometry, as listed in the Alexandria database.

Results
- Symmetry: No. 166
- Magnetic moment: 0.00 μB/cell
- Formation enthalpy at 0 K: 0.4858 eV per atom
- ΔE to the lowest computed polymorph: 454.4 meV/atom

Cell and atoms, written as POSCAR:
```
Pa2AlCr
1.0
1.526 0.881 10.523
-1.526 0.881 10.523
0.000 -1.762 10.523
Pa Al Cr
2 1 1
direct
0.098 0.098 0.098 Pa
0.902 0.902 0.902 Pa
0.000 0.000 0.000 Al
0.500 0.500 0.500 Cr
```